[1]
Entry from Alexandria via LeMat-Bulk: a relaxed structure of YRuS2 (PBE).

Values from the calculation:
Uncorrected formation energy   -54 kJ/mol of atoms
Crystal system   trigonal
Raw total energy   -78.7 eV for the cell shown
Space-group type   No. 166

POSCAR file:
```
YRuS2
1.0
3.952 0.000 0.000
-1.976 3.422 0.000
0.000 0.000 22.819
Y Ru S
3 3 6
Direct
0.000 0.000 0.000
0.333 0.667 0.667
0.667 0.333 0.333
0.000 0.000 0.500
0.333 0.667 0.167
0.667 0.333 0.833
0.000 0.000 0.398
0.000 0.000 0.602
0.333 0.667 0.065
0.333 0.667 0.268
0.667 0.333 0.732
0.667 0.333 0.935
```


[2]
Entry from Alexandria via LeMat-Bulk: a relaxed structure of Y7RuS5 (PBE).

Values from the calculation:
Uncorrected formation energy   -155 kJ/mol of atoms
Crystal system   orthorhombic
Raw total energy   -192.1 eV for the cell shown
Space-group type   No. 36

POSCAR file:
```
Y7RuS5
1.0
1.930 -6.458 0.000
1.930 6.458 0.000
0.000 0.000 23.642
Y Ru S
14 2 10
Direct
0.038 0.962 0.500
0.132 0.868 0.216
0.146 0.854 0.788
0.297 0.703 0.430
0.310 0.690 0.572
0.399 0.601 0.133
0.419 0.581 0.860
0.581 0.419 0.360
0.601 0.399 0.633
0.690 0.310 0.072
0.703 0.297 0.930
0.854 0.146 0.288
0.868 0.132 0.716
0.962 0.038 0.000
0.308 0.692 0.009
0.692 0.308 0.509
0.045 0.955 0.111
0.058 0.942 0.893
0.217 0.783 0.323
0.231 0.769 0.680
0.491 0.509 0.249
0.509 0.491 0.749
0.769 0.231 0.180
0.783 0.217 0.823
0.942 0.058 0.393
0.955 0.045 0.611
```


[3]
Entry from Alexandria via LeMat-Bulk: a relaxed structure of Y2RuS (PBE).

Values from the calculation:
Uncorrected formation energy   -62 kJ/mol of atoms
Crystal system   cubic
Raw total energy   -115.6 eV for the cell shown
Space-group type   No. 225

POSCAR file:
```
Y2RuS
1.0
6.896 0.000 0.000
0.000 6.896 0.000
0.000 0.000 6.896
Y Ru S
8 4 4
Direct
0.250 0.250 0.250
0.250 0.250 0.750
0.250 0.750 0.250
0.250 0.750 0.750
0.750 0.250 0.250
0.750 0.250 0.750
0.750 0.750 0.250
0.750 0.750 0.750
0.000 0.000 0.000
0.000 0.500 0.500
0.500 0.000 0.500
0.500 0.500 0.000
0.000 0.000 0.500
0.000 0.500 0.000
0.500 0.000 0.000
0.500 0.500 0.500
```


[4]
Entry from Alexandria via LeMat-Bulk: a relaxed structure of ZnRu3S (PBE).

Values from the calculation:
Uncorrected formation energy   182 kJ/mol of atoms
Crystal system   cubic
Raw total energy   -23.8 eV for the cell shown
Space-group type   No. 221

POSCAR file:
```
ZnRu3S
1.0
4.514 0.000 0.000
0.000 4.514 0.000
0.000 0.000 4.514
Zn Ru S
1 3 1
Direct
0.000 0.000 0.000
0.000 0.000 0.500
0.000 0.500 0.000
0.500 0.000 0.000
0.500 0.500 0.500
```